one) Computed, not measured: a relaxed structure of SrHoAu2 at the GGA-PBE level of DFT.

abc: 3.6897 3.6897 7.5374
angles: 90.00 90.00 90.00
With the nearest neighbours (Å) after each atom.
Space group P4/mmm (No. 123)
One atom of each set of equivalent atoms:
Sr 0.0000 0.0000 0.0000 (multiplicity 1)  8 Au 3.41, 4 Sr 3.69, 2 Ho 3.77
Ho 0.0000 0.0000 0.5000 (multiplicity 1)  8 Au 3.05
Au 0.5000 0.5000 0.2906 (multiplicity 2)  4 Ho 3.05, 1 Au 3.16, 4 Sr 3.41

Properties
Total magnetization (μB per cell): 0.00
Density of states at the Fermi level (states/eV/f.u.): 2.98



two) Computed, not measured: a relaxed structure of SrHoAu2 at the GGA-PBE level of DFT.

abc: 4.9860 4.9860 15.1967
angles: 90.00 90.00 120.00
With the nearest neighbours (Å) after each atom.
Space group R-3m (No. 166, hexagonal axes)
One atom of each set of equivalent atoms:
Sr 0.0000 0.0000 0.0000 (multiplicity 3)  8 Au 3.26-3.40
Ho 0.0000 0.0000 0.5000 (multiplicity 3)  6 Au 2.97
Au 0.0000 0.0000 0.2142 (multiplicity 6)  3 Ho 2.97, 3 Au 3.22, 1 Sr 3.26

Properties
Total magnetization (μB per cell): 0.00
Density of states at the Fermi level (states/eV/f.u.): 2.92



Which structure is most stable? one), by 85 meV/atom over the runner-up.



one) Computed, not measured: a relaxed structure of Tb2HoAu at the GGA-PBE level of DFT.

abc: 3.7268 3.7268 29.5083
angles: 90.00 90.00 120.00
With the nearest neighbours (Å) after each atom.
Space group R3m (No. 160, hexagonal axes)
One atom of each set of equivalent atoms:
Tb 0.0000 0.0000 0.0000 (multiplicity 3)  3 Au 2.98
Tb 0.0000 0.0000 0.1928 (multiplicity 3)  3 Au 3.00
Ho 0.0000 0.0000 0.7628 (multiplicity 3)  6 Tb 3.56-3.57, 6 Ho 3.73
Au 0.0000 0.0000 0.5969 (multiplicity 3)  6 Tb 2.98-3.00

Properties
Total magnetization (μB per cell): 1.57
Density of states at the Fermi level (states/eV/f.u.): 4.86



two) Computed, not measured: a relaxed structure of Tb2HoAu at the GGA-PBE level of DFT.

abc: 3.6362 3.6362 8.4116
angles: 90.00 90.00 90.00
With the nearest neighbours (Å) after each atom.
Space group P4/mmm (No. 123)
One atom of each set of equivalent atoms:
Tb 0.0000 0.0000 0.2092 (multiplicity 2)  4 Au 3.12
Ho 0.5000 0.5000 0.5000 (multiplicity 1)  8 Tb 3.55, 4 Ho 3.64
Au 0.5000 0.5000 0.0000 (multiplicity 1)  8 Tb 3.12

Properties
Total magnetization (μB per cell): 0.00
Density of states at the Fermi level (states/eV/f.u.): 5.29



three) Computed, not measured: a relaxed structure of Tb2HoAu at the GGA-PBE level of DFT.

abc: 6.9666 9.7714 6.6833
angles: 90.00 90.00 90.00
With the nearest neighbours (Å) after each atom.
Space group Pnma (No. 62)
One atom of each set of equivalent atoms:
Tb 0.1977 0.0547 0.1939 (multiplicity 8)  2 Au 2.95-3.01
Ho 0.0149 0.2500 0.6187 (multiplicity 4)  2 Au 2.90-2.96
Au 0.0881 0.7500 0.9616 (multiplicity 4)  2 Ho 2.90-2.96, 4 Tb 2.95-3.01

Properties
Total magnetization (μB per cell): 0.00
Density of states at the Fermi level (states/eV/f.u.): 3.46



Which structure is most stable? three), by 56 meV/atom over the runner-up.



one) Computed, not measured: a relaxed structure of TbHoAu2 at the GGA-PBE level of DFT.

abc: 4.6980 3.7123 11.0157
angles: 90.00 90.00 90.00
With the nearest neighbours (Å) after each atom.
Space group Amm2 (No. 38)
One atom of each set of equivalent atoms:
Tb 0.0000 0.0000 0.0000 (multiplicity 2)  7 Au 3.00-3.12
Ho 0.5000 0.0000 0.7224 (multiplicity 2)  7 Au 3.01-3.11
Au 0.0000 0.0000 0.2722 (multiplicity 2)  3 Tb 3.00-3.12, 4 Ho 3.04, 2 Au 3.05
Au 0.5000 0.0000 0.4494 (multiplicity 2)  3 Ho 3.01-3.11, 4 Tb 3.05, 2 Au 3.05

Properties
Total magnetization (μB per cell): 0.00
Density of states at the Fermi level (states/eV/f.u.): 2.33



two) Computed, not measured: a relaxed structure of TbHoAu2 at the GGA-PBE level of DFT.

abc: 7.2030 7.2030 7.2030
angles: 90.00 90.00 90.00
With the nearest neighbours (Å) after each atom.
Space group Fm-3m (No. 225)
One atom of each set of equivalent atoms:
Tb 0.0000 0.0000 0.0000 (multiplicity 4)  8 Au 3.12
Ho 0.0000 0.0000 0.5000 (multiplicity 4)  8 Au 3.12
Au 0.2500 0.2500 0.2500 (multiplicity 8)  4 Tb 3.12, 4 Ho 3.12

Properties
Total magnetization (μB per cell): 0.00
Density of states at the Fermi level (states/eV/f.u.): 2.26



Which structure is most stable? one), by 26 meV/atom over the runner-up.



one) Computed, not measured: a relaxed structure of TbHoAu at the GGA-PBE level of DFT.

abc: 7.0318 7.0318 7.0318
angles: 90.00 90.00 90.00
With the nearest neighbours (Å) after each atom.
Space group F-43m (No. 216)
One atom of each set of equivalent atoms:
Tb 0.0000 0.0000 0.0000 (multiplicity 4)  4 Au 3.04
Ho 0.0000 0.0000 0.5000 (multiplicity 4)  4 Au 3.04
Au 0.2500 0.2500 0.2500 (multiplicity 4)  4 Tb 3.04, 4 Ho 3.04

Properties
Total magnetization (μB per cell): 0.00
Density of states at the Fermi level (states/eV/f.u.): 3.84



two) Computed, not measured: a relaxed structure of TbHoAu at the GGA-PBE level of DFT.

abc: 7.1254 4.9638 8.9362
angles: 90.00 90.00 90.00
With the nearest neighbours (Å) after each atom.
Space group Pnma (No. 62)
One atom of each set of equivalent atoms:
Tb 0.0126 0.2500 0.1766 (multiplicity 4)  3 Au 2.96-3.16
Ho 0.1491 0.2500 0.5812 (multiplicity 4)  4 Au 2.89-3.05
Au 0.2441 0.2500 0.9019 (multiplicity 4)  4 Ho 2.89-3.05, 3 Tb 2.96-3.16

Properties
Total magnetization (μB per cell): 0.00
Density of states at the Fermi level (states/eV/f.u.): 3.01



three) Computed, not measured: a relaxed structure of TbHoAu at the GGA-PBE level of DFT.

abc: 4.9033 4.9033 3.8112
angles: 90.00 90.00 120.00
With the nearest neighbours (Å) after each atom.
Space group P3m1 (No. 156)
One atom of each set of equivalent atoms:
Tb 0.0000 0.0000 0.0000 (multiplicity 1)  3 Au 3.03, 3 Ho 3.35
Ho 0.3333 0.6667 0.5301 (multiplicity 1)  3 Au 2.99
Au 0.6667 0.3333 0.2812 (multiplicity 1)  3 Ho 2.99, 3 Tb 3.03

Properties
Total magnetization (μB per cell): 0.00
Density of states at the Fermi level (states/eV/f.u.): 1.90



four) Computed, not measured: a relaxed structure of TbHoAu at the GGA-PBE level of DFT.

abc: 4.9929 4.9929 22.5168
angles: 90.00 90.00 120.00
With the nearest neighbours (Å) after each atom.
Space group R3m (No. 160, hexagonal axes)
One atom of each set of equivalent atoms:
Tb 0.0000 0.0000 0.0000 (multiplicity 3)  4 Au 3.00-3.10
Tb 0.0000 0.0000 0.1625 (multiplicity 3)  3 Au 3.01, 3 Ho 3.35
Ho 0.0000 0.0000 0.4204 (multiplicity 3)  3 Au 3.00, 3 Tb 3.35
Ho 0.0000 0.0000 0.5830 (multiplicity 3)  4 Au 3.02-3.09
Au 0.0000 0.0000 0.7171 (multiplicity 3)  4 Ho 3.00-3.02, 3 Tb 3.10
Au 0.0000 0.0000 0.8669 (multiplicity 3)  4 Tb 3.00-3.01, 3 Ho 3.09

Properties
Total magnetization (μB per cell): 0.00
Density of states at the Fermi level (states/eV/f.u.): 2.79



Which structure is most stable? two), by 173 meV/atom over the runner-up.